PBE with a Hubbard U CoPbNO2, relaxed; magnetic moment = 3.9 Bohr magnetons per cell; uncorrected energy = -22.84 eV/f.u.
1.0
-1.922 1.343 -3.529
-3.684 0.201 2.083
0.844 4.093 1.098
Co O N Pb
1 2 1 1
Direct
0.500 0.500 0.500
0.500 0.000 0.000
0.000 0.500 0.000
0.000 0.000 0.500
0.000 0.000 0.000



PBE with a Hubbard U RbCoN2O, relaxed; magnetic moment = 0.0 Bohr magnetons per cell; uncorrected energy = -22.68 eV/f.u.
1.0
-0.186 -0.576 -3.621
1.427 -3.351 0.460
-4.214 -1.726 0.491
O N Rb Co
1 2 1 1
Direct
0.000 0.000 0.500
0.500 0.000 0.000
0.000 0.500 0.000
0.500 0.500 0.500
0.000 0.000 0.000



PBE with a Hubbard U RbCoN2O, relaxed; magnetic moment = 6.3 Bohr magnetons per cell; uncorrected energy = -13.67 eV/f.u.
1.0
4.661 0.000 0.000
0.000 4.661 0.000
0.000 0.000 4.326
Co N Rb O
1 2 1 1
Direct
0.500 0.500 0.500
0.000 0.500 0.000
0.500 0.000 0.000
0.000 0.000 0.000
0.000 0.000 0.500



PBE with a Hubbard U CoRhNO2, relaxed; magnetic moment = 3.2 Bohr magnetons per cell; uncorrected energy = -28.39 eV/f.u.
1.0
-0.837 -0.462 3.963
-3.822 -1.069 -0.932
1.015 -3.466 -0.189
Rh N O Co
1 1 2 1
Direct
0.000 0.000 0.000
0.000 0.000 0.500
0.000 0.500 0.000
0.500 0.000 0.000
0.500 0.500 0.500



PBE with a Hubbard U CoRhNO2, relaxed; magnetic moment = 0.3 Bohr magnetons per cell; uncorrected energy = -27.42 eV/f.u.
1.0
3.745 0.000 0.000
0.000 3.745 0.000
0.000 0.000 3.524
Co N O Rh
1 1 2 1
Direct
0.000 0.000 0.000
0.000 0.000 0.500
0.500 0.000 0.000
0.000 0.500 0.000
0.500 0.500 0.500



PBE with a Hubbard U CoRuNO2, relaxed; magnetic moment = 2.6 Bohr magnetons per cell; uncorrected energy = -29.26 eV/f.u.
1.0
3.658 0.000 0.000
0.000 3.658 0.000
0.000 0.000 3.682
O Ru N Co
2 1 1 1
Direct
0.000 0.500 0.000
0.500 0.000 0.000
0.500 0.500 0.500
0.000 0.000 0.500
0.000 0.000 0.000